No. 1
Ba2Cd: PBEsol geometry, SCAN.

Values from the calculation:
- spin magnetization (μB/f.u.) = 0.03
- crystal system = tetragonal
- calculated formation energy (eV/atom) = -0.284
- symmetry = I4/mmm (139)

a = 7.995 Å, b = 7.995 Å, c = 7.995 Å
α = 149.50°, β = 149.50°, γ = 43.68°
Element x y z (fractional)
Ba: 0.132 0.132 0.000
Ba: 0.868 0.868 0.000
Cd: 0.500 0.500 0.000

---

No. 2
KNdO2: PBEsol geometry, SCAN.

Values from the calculation:
- spin magnetization (μB/f.u.) = 0.05
- crystal system = trigonal
- symmetry = R-3m (166)
- total energy (eV per cell) = -75.93

a = 6.540 Å, b = 6.540 Å, c = 6.540 Å
α = 31.94°, β = 31.94°, γ = 31.94°
Element x y z (fractional)
K: 0.000 0.000 0.000
Nd: 0.500 0.500 0.500
O: 0.231 0.231 0.231
O: 0.769 0.769 0.769

---

No. 3
CaTlS2Cl: PBEsol geometry, SCAN.

Values from the calculation:
- spin magnetization (μB/f.u.) = 2.00
- crystal system = tetragonal
- symmetry = P4/mmm (123)
- total energy (eV per cell) = -113.20

a = 5.305 Å, b = 5.305 Å, c = 5.226 Å
α = 90.00°, β = 90.00°, γ = 90.00°
Element x y z (fractional)
Ca: 0.000 0.000 0.000
Tl: 0.500 0.500 0.500
S: 0.000 0.500 0.000
S: 0.500 0.000 0.000
Cl: 0.000 0.000 0.500

---

No. 4
BaSrI4: PBEsol geometry, SCAN.

Values from the calculation:
- spin magnetization (μB/f.u.) = 0.00
- crystal system = orthorhombic
- symmetry = Cmc2_1 (36)
- total energy (eV per cell) = -439.66

a = 11.975 Å, b = 11.975 Å, c = 7.934 Å
α = 90.00°, β = 90.00°, γ = 150.07°
Element x y z (fractional)
Ba: 0.184 0.816 0.500
Ba: 0.816 0.184 0.000
Sr: 0.414 0.586 0.420
Sr: 0.586 0.414 0.920
I: 0.116 0.884 0.896
I: 0.291 0.709 0.201
I: 0.317 0.683 0.722
I: 0.453 0.547 0.028
I: 0.547 0.453 0.528
I: 0.683 0.317 0.222
I: 0.709 0.291 0.701
I: 0.884 0.116 0.396

---

No. 5
NaMg3Ru: PBEsol geometry, SCAN.

Values from the calculation:
- spin magnetization (μB/f.u.) = 1.85
- crystal system = cubic
- calculated formation energy (eV/atom) = 1.329
- symmetry = Pm-3m (221)

a = 4.772 Å, b = 4.772 Å, c = 4.772 Å
α = 90.00°, β = 90.00°, γ = 90.00°
Element x y z (fractional)
Na: 0.000 0.000 0.000
Mg: 0.000 0.000 0.500
Mg: 0.000 0.500 0.000
Mg: 0.500 0.000 0.000
Ru: 0.500 0.500 0.500

---

No. 6
BaHgPb2: PBEsol geometry, SCAN.

Values from the calculation:
- spin magnetization (μB/f.u.) = 0.00
- crystal system = cubic
- calculated formation energy (eV/atom) = -0.307
- energy above the lowest structure with this stoichiometry (eV/atom) = 0.213
- symmetry = Fm-3m (225)

a = 5.559 Å, b = 5.559 Å, c = 5.559 Å
α = 60.00°, β = 60.00°, γ = 60.00°
Element x y z (fractional)
Ba: 0.000 0.000 0.000
Hg: 0.500 0.500 0.500
Pb: 0.250 0.250 0.250
Pb: 0.750 0.750 0.750

---

No. 7
K2FeAs: PBEsol geometry, SCAN.

Values from the calculation:
- spin magnetization (μB/f.u.) = 3.34
- crystal system = tetragonal
- calculated formation energy (eV/atom) = 0.486
- symmetry = I4/mmm (139)

a = 5.975 Å, b = 5.975 Å, c = 5.975 Å
α = 138.60°, β = 138.60°, γ = 59.98°
Element x y z (fractional)
K: 0.250 0.750 0.500
K: 0.750 0.250 0.500
Fe: 0.000 0.000 0.000
As: 0.500 0.500 0.000

---

No. 8
Na2BrCl: PBEsol geometry, SCAN.

Values from the calculation:
- spin magnetization (μB/f.u.) = 0.00
- crystal system = trigonal
- energy above the lowest structure with this stoichiometry (eV/atom) = 0.000
- symmetry = R-3m (166)

a = 7.068 Å, b = 7.068 Å, c = 7.068 Å
α = 33.49°, β = 33.49°, γ = 33.49°
Element x y z (fractional)
Na: 0.246 0.246 0.246
Na: 0.754 0.754 0.754
Br: 0.000 0.000 0.000
Cl: 0.500 0.500 0.500

---

No. 9
SrY2BeSe: PBEsol geometry, SCAN.

Values from the calculation:
- spin magnetization (μB/f.u.) = 1.11
- crystal system = tetragonal
- symmetry = P4/mmm (123)
- total energy (eV per cell) = -102.92

a = 5.489 Å, b = 5.489 Å, c = 4.532 Å
α = 90.00°, β = 90.00°, γ = 90.00°
Element x y z (fractional)
Sr: 0.000 0.000 0.000
Y: 0.000 0.500 0.500
Y: 0.500 0.000 0.500
Be: 0.500 0.500 0.000
Se: 0.500 0.500 0.500

---

No. 10
CrMoRh2: PBEsol geometry, SCAN.

Values from the calculation:
- spin magnetization (μB/f.u.) = 0.00
- crystal system = monoclinic
- calculated formation energy (eV/atom) = 0.031
- energy above the lowest structure with this stoichiometry (eV/atom) = 0.202
- symmetry = C2/m (12)

a = 4.636 Å, b = 4.636 Å, c = 4.591 Å
α = 99.87°, β = 99.87°, γ = 33.40°
Element x y z (fractional)
Cr: 0.000 0.000 0.000
Mo: 0.500 0.500 0.500
Rh: 0.255 0.255 0.757
Rh: 0.745 0.745 0.243

---

No. 11
Sr5W3O14: PBEsol geometry, SCAN.

Values from the calculation:
- spin magnetization (μB/f.u.) = 0.00
- crystal system = monoclinic
- symmetry = Cc (9)
- total energy (eV per cell) = -940.77

a = 7.596 Å, b = 7.596 Å, c = 10.843 Å
α = 90.05°, β = 90.05°, γ = 89.43°
Element x y z (fractional)
Sr: 0.000 0.000 0.000
Sr: 0.000 0.000 0.500
Sr: 0.000 0.473 0.481
Sr: 0.266 0.740 0.710
Sr: 0.473 0.000 0.981
Sr: 0.498 0.500 0.443
Sr: 0.500 0.498 0.943
Sr: 0.507 0.978 0.460
Sr: 0.740 0.266 0.210
Sr: 0.978 0.507 0.960
W: 0.238 0.251 0.719
W: 0.238 0.737 0.221
W: 0.251 0.238 0.219
W: 0.737 0.238 0.721
W: 0.739 0.750 0.223
W: 0.750 0.739 0.723
O: 0.002 0.744 0.177
O: 0.057 0.285 0.113
O: 0.090 0.218 0.350
O: 0.216 0.806 0.388
O: 0.218 0.090 0.850
O: 0.226 0.452 0.828
O: 0.248 0.502 0.265
O: 0.253 0.998 0.176
O: 0.282 0.426 0.595
O: 0.285 0.057 0.613
O: 0.307 0.714 0.056
O: 0.426 0.282 0.095
O: 0.452 0.226 0.328
O: 0.499 0.755 0.265
O: 0.502 0.248 0.765
O: 0.552 0.780 0.829
O: 0.579 0.720 0.594
O: 0.714 0.307 0.556
O: 0.720 0.579 0.094
O: 0.724 0.947 0.113
O: 0.744 0.002 0.677
O: 0.755 0.499 0.765
O: 0.780 0.552 0.329
O: 0.787 0.915 0.349
O: 0.806 0.216 0.888
O: 0.915 0.787 0.849
O: 0.947 0.724 0.613
O: 0.998 0.253 0.676

---

No. 12
KMnTe: PBEsol geometry, SCAN.

Values from the calculation:
- spin magnetization (μB/f.u.) = 4.10
- crystal system = cubic
- symmetry = F-43m (216)
- total energy (eV per cell) = -64.15

a = 4.828 Å, b = 4.828 Å, c = 4.828 Å
α = 60.00°, β = 60.00°, γ = 60.00°
Element x y z (fractional)
K: 0.000 0.000 0.000
Mn: 0.250 0.250 0.250
Te: 0.500 0.500 0.500

---

No. 13
NaSi2Ag2: PBEsol geometry, SCAN.

Values from the calculation:
- spin magnetization (μB/f.u.) = 0.00
- crystal system = tetragonal
- energy above the lowest structure with this stoichiometry (eV/atom) = 0.000
- symmetry = I4/mmm (139)

a = 5.864 Å, b = 5.864 Å, c = 5.864 Å
α = 136.86°, β = 136.86°, γ = 62.65°
Element x y z (fractional)
Na: 0.000 0.000 0.000
Si: 0.386 0.386 0.000
Si: 0.614 0.614 0.000
Ag: 0.250 0.750 0.500
Ag: 0.750 0.250 0.500

---

No. 14
YRhSe3: PBEsol geometry, SCAN.

Values from the calculation:
- spin magnetization (μB/f.u.) = 0.00
- crystal system = cubic
- energy above the lowest structure with this stoichiometry (eV/atom) = 0.000
- symmetry = Pm-3m (221)

a = 4.809 Å, b = 4.809 Å, c = 4.809 Å
α = 90.00°, β = 90.00°, γ = 90.00°
Element x y z (fractional)
Y: 0.000 0.000 0.000
Rh: 0.500 0.500 0.500
Se: 0.000 0.500 0.500
Se: 0.500 0.000 0.500
Se: 0.500 0.500 0.000

---

No. 15
ScZnCdAs2: PBEsol geometry, SCAN.

Values from the calculation:
- spin magnetization (μB/f.u.) = 0.00
- crystal system = tetragonal
- calculated formation energy (eV/atom) = 0.308
- symmetry = P4/mmm (123)

a = 4.720 Å, b = 4.720 Å, c = 5.037 Å
α = 90.00°, β = 90.00°, γ = 90.00°
Element x y z (fractional)
Sc: 0.000 0.000 0.000
Zn: 0.000 0.000 0.500
Cd: 0.500 0.500 0.000
As: 0.000 0.500 0.500
As: 0.500 0.000 0.500

---

No. 16
GeOs3Au: PBEsol geometry, SCAN.

Values from the calculation:
- spin magnetization (μB/f.u.) = 6.50
- crystal system = cubic
- calculated formation energy (eV/atom) = 3.024
- symmetry = Pm-3m (221)

a = 4.791 Å, b = 4.791 Å, c = 4.791 Å
α = 90.00°, β = 90.00°, γ = 90.00°
Element x y z (fractional)
Ge: 0.000 0.000 0.000
Os: 0.000 0.500 0.500
Os: 0.500 0.000 0.500
Os: 0.500 0.500 0.000
Au: 0.500 0.500 0.500

---

No. 17
AlZnTc2: PBEsol geometry, SCAN.

Values from the calculation:
- spin magnetization (μB/f.u.) = 0.00
- crystal system = tetragonal
- calculated formation energy (eV/atom) = -0.298
- energy above the lowest structure with this stoichiometry (eV/atom) = 0.000
- symmetry = P4mm (99)

a = 2.989 Å, b = 2.989 Å, c = 6.170 Å
α = 90.00°, β = 90.00°, γ = 90.00°
Element x y z (fractional)
Al: 0.000 0.000 0.000
Zn: 0.500 0.500 0.750
Tc: 0.000 0.000 0.491
Tc: 0.500 0.500 0.251

---

No. 18
K3Ba: PBEsol geometry, SCAN.

Values from the calculation:
- spin magnetization (μB/f.u.) = 0.38
- crystal system = orthorhombic
- calculated formation energy (eV/atom) = 0.091
- symmetry = Pmmm (47)

a = 4.458 Å, b = 6.535 Å, c = 9.188 Å
α = 90.00°, β = 90.00°, γ = 90.00°
Element x y z (fractional)
K: 0.000 0.000 0.000
K: 0.500 0.500 0.251
K: 0.500 0.500 0.749
Ba: 0.000 0.000 0.500

---

No. 19
AgHg2: PBEsol geometry, SCAN.

Values from the calculation:
- spin magnetization (μB/f.u.) = 0.00
- crystal system = monoclinic
- calculated formation energy (eV/atom) = 0.080
- energy above the lowest structure with this stoichiometry (eV/atom) = 0.032
- symmetry = Cm (8)

a = 5.548 Å, b = 5.548 Å, c = 7.373 Å
α = 100.91°, β = 100.91°, γ = 33.04°
Element x y z (fractional)
Ag: 0.000 0.000 0.000
Ag: 0.664 0.664 0.286
Hg: 0.088 0.088 0.569
Hg: 0.371 0.371 0.674
Hg: 0.387 0.387 0.264
Hg: 0.715 0.715 0.922

---

No. 20
Y2InAu: PBEsol geometry, SCAN.

Values from the calculation:
- spin magnetization (μB/f.u.) = 0.00
- crystal system = tetragonal
- calculated formation energy (eV/atom) = -0.862
- symmetry = P4/mmm (123)

a = 5.132 Å, b = 5.132 Å, c = 3.633 Å
α = 90.00°, β = 90.00°, γ = 90.00°
Element x y z (fractional)
Y: 0.000 0.500 0.000
Y: 0.500 0.000 0.000
In: 0.000 0.000 0.500
Au: 0.500 0.500 0.500

---

No. 21
ZrFe2Si: PBEsol geometry, SCAN.

Values from the calculation:
- spin magnetization (μB/f.u.) = 3.45
- crystal system = monoclinic
- symmetry = C2/m (12)
- total energy (eV per cell) = -76.67

a = 4.805 Å, b = 4.805 Å, c = 2.763 Å
α = 104.31°, β = 104.31°, γ = 111.11°
Element x y z (fractional)
Zr: 0.000 0.000 0.000
Fe: 0.000 0.500 0.500
Fe: 0.500 0.000 0.500
Si: 0.500 0.500 0.000

---

No. 22
Li2CaIn: PBEsol geometry, SCAN.

Values from the calculation:
- spin magnetization (μB/f.u.) = 0.03
- crystal system = tetragonal
- calculated formation energy (eV/atom) = -0.265
- symmetry = P4mm (99)

a = 3.517 Å, b = 3.517 Å, c = 7.701 Å
α = 90.00°, β = 90.00°, γ = 90.00°
Element x y z (fractional)
Li: 0.000 0.000 0.000
Li: 0.500 0.500 0.201
Ca: 0.000 0.000 0.527
In: 0.500 0.500 0.806

---

No. 23
FePb: PBEsol geometry, SCAN.

Values from the calculation:
- spin magnetization (μB/f.u.) = 2.65
- crystal system = tetragonal
- calculated formation energy (eV/atom) = 0.267
- symmetry = P4/nmm (129)

a = 3.141 Å, b = 3.141 Å, c = 7.984 Å
α = 90.00°, β = 90.00°, γ = 90.00°
Element x y z (fractional)
Fe: 0.250 0.250 0.064
Fe: 0.750 0.750 0.936
Pb: 0.250 0.250 0.698
Pb: 0.750 0.750 0.302

---

No. 24
CuTeAs: PBEsol geometry, SCAN.

Values from the calculation:
- spin magnetization (μB/f.u.) = 0.00
- crystal system = orthorhombic
- symmetry = Pnma (62)
- total energy (eV per cell) = -291.21

a = 12.208 Å, b = 4.214 Å, c = 5.612 Å
α = 90.00°, β = 90.00°, γ = 90.00°
Element x y z (fractional)
Cu: 0.164 0.250 0.109
Cu: 0.336 0.750 0.609
Cu: 0.664 0.250 0.391
Cu: 0.836 0.750 0.891
Te: 0.165 0.750 0.866
Te: 0.335 0.250 0.366
Te: 0.665 0.750 0.634
Te: 0.835 0.250 0.134
As: 0.019 0.250 0.379
As: 0.481 0.750 0.879
As: 0.519 0.250 0.121
As: 0.981 0.750 0.621

---

No. 25
TmGe2: PBEsol geometry, SCAN.

Values from the calculation:
- spin magnetization (μB/f.u.) = 0.00
- crystal system = orthorhombic
- calculated formation energy (eV/atom) = -0.655
- symmetry = Cmcm (63)

a = 7.956 Å, b = 7.956 Å, c = 3.851 Å
α = 90.00°, β = 90.00°, γ = 151.02°
Element x y z (fractional)
Tm: 0.103 0.897 0.750
Tm: 0.897 0.103 0.250
Ge: 0.252 0.748 0.250
Ge: 0.445 0.555 0.750
Ge: 0.555 0.445 0.250
Ge: 0.748 0.252 0.750

---

No. 26
FeTcRu2: PBEsol geometry, SCAN.

Values from the calculation:
- spin magnetization (μB/f.u.) = 3.95
- crystal system = orthorhombic
- calculated formation energy (eV/atom) = 0.294
- energy above the lowest structure with this stoichiometry (eV/atom) = 0.167
- symmetry = Pmmm (47)

a = 2.765 Å, b = 4.340 Å, c = 4.401 Å
α = 90.00°, β = 90.00°, γ = 90.00°
Element x y z (fractional)
Fe: 0.000 0.000 0.000
Tc: 0.500 0.000 0.500
Ru: 0.000 0.500 0.500
Ru: 0.500 0.500 0.000

---

No. 27
ScIn3Co: PBEsol geometry, SCAN.

Values from the calculation:
- spin magnetization (μB/f.u.) = 0.00
- crystal system = cubic
- calculated formation energy (eV/atom) = 0.085
- symmetry = Pm-3m (221)

a = 4.783 Å, b = 4.783 Å, c = 4.783 Å
α = 90.00°, β = 90.00°, γ = 90.00°
Element x y z (fractional)
Sc: 0.000 0.000 0.000
In: 0.000 0.500 0.500
In: 0.500 0.000 0.500
In: 0.500 0.500 0.000
Co: 0.500 0.500 0.500